(1)
MnBeSbN after structural relaxation. Source: the Alexandria database, functional GGA-PBE.

```
data_MnBeSbN
_chemical_formula_sum 'Mn2 Be2 Sb2 N2'
_cell_length_a 3.047
_cell_length_b 3.208
_cell_length_c 12.947
_cell_angle_alpha 90.00
_cell_angle_beta 90.00
_cell_angle_gamma 90.00
_space_group_name_H-M_alt 'P 1'
_space_group_IT_number 1
loop_
_space_group_symop_operation_xyz
'x,y,z'
loop_
_atom_site_label
_atom_site_type_symbol
_atom_site_fract_x
_atom_site_fract_y
_atom_site_fract_z
Sb1 Sb 0.982 0.000 0.533
Sb2 Sb 0.982 0.500 0.033
Mn1 Mn 0.482 0.000 0.711
Mn2 Mn 0.482 0.500 0.211
Be1 Be 0.982 0.000 0.334
Be2 Be 0.982 0.500 0.834
N1 N 0.482 0.000 0.292
N2 N 0.482 0.500 0.792
```

Properties
**Energy above the lowest structure with this stoichiometry**: 14 meV/atom
**DOS at the Fermi energy**: 2.699 states/eV per cell
**Symmetry**: No. 38
**Calculated total energy**: -6.4855 eV/atom

***

(2)
MnBeSbN after structural relaxation. Source: the Alexandria database, functional GGA-PBE.

```
data_MnBeSbN
_chemical_formula_sum 'Mn3 Be3 Sb3 N3'
_cell_length_a 2.942
_cell_length_b 2.942
_cell_length_c 20.603
_cell_angle_alpha 90.00
_cell_angle_beta 90.00
_cell_angle_gamma 120.00
_space_group_name_H-M_alt 'P 1'
_space_group_IT_number 1
loop_
_space_group_symop_operation_xyz
'x,y,z'
loop_
_atom_site_label
_atom_site_type_symbol
_atom_site_fract_x
_atom_site_fract_y
_atom_site_fract_z
Sb1 Sb 0.000 0.000 0.003
Sb2 Sb 0.333 0.667 0.670
Sb3 Sb 0.667 0.333 0.336
Mn1 Mn 0.000 0.000 0.128
Mn2 Mn 0.333 0.667 0.795
Mn3 Mn 0.667 0.333 0.461
Be1 Be 0.000 0.000 0.873
Be2 Be 0.333 0.667 0.540
Be3 Be 0.667 0.333 0.206
N1 N 0.000 0.000 0.516
N2 N 0.333 0.667 0.183
N3 N 0.667 0.333 0.849
```

Properties
**Energy above the lowest structure with this stoichiometry**: 177 meV/atom
**DOS at the Fermi energy**: 6.622 states/eV per cell
**Symmetry**: No. 160
**Calculated total energy**: -6.3226 eV/atom

***

(3)
MnBeSbN after structural relaxation. Source: the Alexandria database, functional GGA-PBE.

```
data_MnBeSbN
_chemical_formula_sum 'Mn3 Be3 Sb3 N3'
_cell_length_a 2.997
_cell_length_b 2.997
_cell_length_c 19.360
_cell_angle_alpha 90.00
_cell_angle_beta 90.00
_cell_angle_gamma 120.00
_space_group_name_H-M_alt 'P 1'
_space_group_IT_number 1
loop_
_space_group_symop_operation_xyz
'x,y,z'
loop_
_atom_site_label
_atom_site_type_symbol
_atom_site_fract_x
_atom_site_fract_y
_atom_site_fract_z
Sb1 Sb 0.000 0.000 0.887
Sb2 Sb 0.333 0.667 0.554
Sb3 Sb 0.667 0.333 0.221
Mn1 Mn 0.000 0.000 0.325
Mn2 Mn 0.333 0.667 0.992
Mn3 Mn 0.667 0.333 0.659
Be1 Be 0.000 0.000 0.743
Be2 Be 0.333 0.667 0.410
Be3 Be 0.667 0.333 0.076
N1 N 0.000 0.000 0.057
N2 N 0.333 0.667 0.724
N3 N 0.667 0.333 0.390
```

Properties
**Energy above the lowest structure with this stoichiometry**: 143 meV/atom
**DOS at the Fermi energy**: 9.491 states/eV per cell
**Symmetry**: No. 160
**Calculated total energy**: -6.3574 eV/atom

***

(4)
MnBeSbN after structural relaxation. Source: the Alexandria database, functional GGA-PBE.

```
data_MnBeSbN
_chemical_formula_sum 'Mn1 Be1 Sb1 N1'
_cell_length_a 3.182
_cell_length_b 3.037
_cell_length_c 6.287
_cell_angle_alpha 90.00
_cell_angle_beta 90.00
_cell_angle_gamma 90.00
_space_group_name_H-M_alt 'P 1'
_space_group_IT_number 1
loop_
_space_group_symop_operation_xyz
'x,y,z'
loop_
_atom_site_label
_atom_site_type_symbol
_atom_site_fract_x
_atom_site_fract_y
_atom_site_fract_z
Sb1 Sb 0.500 0.000 0.382
Mn1 Mn 0.500 0.500 0.009
Be1 Be 0.000 0.000 0.738
N1 N 0.000 0.500 0.833
```

Properties
**Energy above the lowest structure with this stoichiometry**: 5 meV/atom
**DOS at the Fermi energy**: 1.712 states/eV per cell
**Symmetry**: No. 25
**Calculated total energy**: -6.4952 eV/atom

***

(5)
MnBeSbN after structural relaxation. Source: the Alexandria database, functional GGA-PBE.

```
data_MnBeSbN
_chemical_formula_sum 'Mn1 Be1 Sb1 N1'
_cell_length_a 2.797
_cell_length_b 3.851
_cell_length_c 6.693
_cell_angle_alpha 106.53
_cell_angle_beta 102.04
_cell_angle_gamma 90.05
_space_group_name_H-M_alt 'P 1'
_space_group_IT_number 1
loop_
_space_group_symop_operation_xyz
'x,y,z'
loop_
_atom_site_label
_atom_site_type_symbol
_atom_site_fract_x
_atom_site_fract_y
_atom_site_fract_z
Sb1 Sb 0.476 0.250 0.318
Mn1 Mn 0.856 0.631 0.076
Be1 Be 0.678 0.454 0.720
N1 N 0.242 0.518 0.848
```

Properties
**Energy above the lowest structure with this stoichiometry**: 129 meV/atom
**DOS at the Fermi energy**: 1.816 states/eV per cell
**Symmetry**: No. 8
**Calculated total energy**: -6.3711 eV/atom

***

(6)
MnBeSbN2 after structural relaxation. Source: the Alexandria database, functional GGA-PBE.

```
data_MnBeSbN2
_chemical_formula_sum 'Mn1 Be1 Sb1 N2'
_cell_length_a 4.007
_cell_length_b 5.031
_cell_length_c 4.007
_cell_angle_alpha 90.00
_cell_angle_beta 90.00
_cell_angle_gamma 90.00
_space_group_name_H-M_alt 'P 1'
_space_group_IT_number 1
loop_
_space_group_symop_operation_xyz
'x,y,z'
loop_
_atom_site_label
_atom_site_type_symbol
_atom_site_fract_x
_atom_site_fract_y
_atom_site_fract_z
Sb1 Sb 0.000 0.000 0.000
Mn1 Mn 0.000 0.500 0.000
Be1 Be 0.500 0.500 0.500
N1 N 0.000 0.000 0.500
N2 N 0.500 0.000 0.000
```

Properties
**DOS at the Fermi energy**: 6.048 states/eV per cell
**Symmetry**: No. 123
**Calculated total energy**: -4.5214 eV/atom

***

(7)
MnBeSbN after structural relaxation. Source: the Alexandria database, functional GGA-PBE.

```
data_MnBeSbN
_chemical_formula_sum 'Mn1 Be1 Sb1 N1'
_cell_length_a 3.099
_cell_length_b 3.054
_cell_length_c 6.354
_cell_angle_alpha 90.00
_cell_angle_beta 105.35
_cell_angle_gamma 90.00
_space_group_name_H-M_alt 'P 1'
_space_group_IT_number 1
loop_
_space_group_symop_operation_xyz
'x,y,z'
loop_
_atom_site_label
_atom_site_type_symbol
_atom_site_fract_x
_atom_site_fract_y
_atom_site_fract_z
Sb1 Sb 0.894 0.000 0.645
Mn1 Mn 0.567 0.500 0.972
Be1 Be 0.227 0.000 0.252
N1 N 0.174 0.500 0.170
```

Properties
**Energy above the lowest structure with this stoichiometry**: 0 meV/atom
**DOS at the Fermi energy**: 1.962 states/eV per cell
**Symmetry**: No. 6
**Calculated total energy**: -6.4999 eV/atom

***

(8)
MnBeSbN after structural relaxation. Source: the Alexandria database, functional GGA-PBE.

```
data_MnBeSbN
_chemical_formula_sum 'Mn1 Be1 Sb1 N1'
_cell_length_a 3.009
_cell_length_b 3.009
_cell_length_c 7.014
_cell_angle_alpha 90.00
_cell_angle_beta 90.00
_cell_angle_gamma 120.00
_space_group_name_H-M_alt 'P 1'
_space_group_IT_number 1
loop_
_space_group_symop_operation_xyz
'x,y,z'
loop_
_atom_site_label
_atom_site_type_symbol
_atom_site_fract_x
_atom_site_fract_y
_atom_site_fract_z
Sb1 Sb 0.333 0.667 0.338
Mn1 Mn 0.000 0.000 0.028
Be1 Be 0.333 0.667 0.777
N1 N 0.667 0.333 0.819
```

Properties
**Energy above the lowest structure with this stoichiometry**: 19 meV/atom
**DOS at the Fermi energy**: 1.024 states/eV per cell
**Symmetry**: No. 156
**Calculated total energy**: -6.4811 eV/atom

***

(9)
MnBeV2N after structural relaxation. Source: the Alexandria database, functional GGA-PBE.

```
data_MnBeV2N
_chemical_formula_sum 'Mn1 Be1 V2 N1'
_cell_length_a 3.868
_cell_length_b 3.676
_cell_length_c 3.868
_cell_angle_alpha 90.00
_cell_angle_beta 90.00
_cell_angle_gamma 90.00
_space_group_name_H-M_alt 'P 1'
_space_group_IT_number 1
loop_
_space_group_symop_operation_xyz
'x,y,z'
loop_
_atom_site_label
_atom_site_type_symbol
_atom_site_fract_x
_atom_site_fract_y
_atom_site_fract_z
Be1 Be 0.500 0.500 0.500
N1 N 0.000 0.000 0.000
Mn1 Mn 0.000 0.500 0.000
V1 V 0.000 0.000 0.500
V2 V 0.500 0.000 0.000
```

Properties
**DOS at the Fermi energy**: 4.177 states/eV per cell
**Symmetry**: No. 123
**Calculated total energy**: -8.2374 eV/atom

***

(10)
NaMn3Be after structural relaxation. Source: the Alexandria database, functional GGA-PBE.

```
data_NaMn3Be
_chemical_formula_sum 'Na1 Mn3 Be1'
_cell_length_a 4.392
_cell_length_b 4.392
_cell_length_c 4.392
_cell_angle_alpha 90.00
_cell_angle_beta 90.00
_cell_angle_gamma 90.00
_space_group_name_H-M_alt 'P 1'
_space_group_IT_number 1
loop_
_space_group_symop_operation_xyz
'x,y,z'
loop_
_atom_site_label
_atom_site_type_symbol
_atom_site_fract_x
_atom_site_fract_y
_atom_site_fract_z
Na1 Na 0.500 0.500 0.500
Mn1 Mn 0.000 0.500 0.000
Mn2 Mn 0.000 0.000 0.500
Mn3 Mn 0.500 0.000 0.000
Be1 Be 0.000 0.000 0.000
```

Properties
**Energy above the lowest structure with this stoichiometry**: 0 meV/atom
**DOS at the Fermi energy**: 8.477 states/eV per cell
**E_form**: 784 meV per atom
**Symmetry**: No. 221
**Calculated total energy**: -5.7266 eV/atom

***

(11)
NaMn2Be after structural relaxation. Source: the Alexandria database, functional GGA-PBE.

```
data_NaMn2Be
_chemical_formula_sum 'Na2 Mn4 Be2'
_cell_length_a 3.905
_cell_length_b 3.905
_cell_length_c 9.077
_cell_angle_alpha 77.58
_cell_angle_beta 77.58
_cell_angle_gamma 90.00
_space_group_name_H-M_alt 'P 1'
_space_group_IT_number 1
loop_
_space_group_symop_operation_xyz
'x,y,z'
loop_
_atom_site_label
_atom_site_type_symbol
_atom_site_fract_x
_atom_site_fract_y
_atom_site_fract_z
Na1 Na 0.000 0.000 0.000
Na2 Na 0.750 0.250 0.500
Mn1 Mn 0.259 0.125 0.250
Mn2 Mn 0.491 0.625 0.250
Mn3 Mn 0.375 0.741 0.750
Mn4 Mn 0.875 0.509 0.750
Be1 Be 0.500 0.500 0.000
Be2 Be 0.250 0.750 0.500
```

Properties
**DOS at the Fermi energy**: 8.920 states/eV per cell
**E_form**: 1094 meV per atom
**Symmetry**: No. 122
**Calculated total energy**: -4.7523 eV/atom

***

(12)
NaMn3Be after structural relaxation. Source: the Alexandria database, functional GGA-PBE.

```
data_NaMn3Be
_chemical_formula_sum 'Na1 Mn3 Be1'
_cell_length_a 4.579
_cell_length_b 4.579
_cell_length_c 4.579
_cell_angle_alpha 90.00
_cell_angle_beta 90.00
_cell_angle_gamma 90.00
_space_group_name_H-M_alt 'P 1'
_space_group_IT_number 1
loop_
_space_group_symop_operation_xyz
'x,y,z'
loop_
_atom_site_label
_atom_site_type_symbol
_atom_site_fract_x
_atom_site_fract_y
_atom_site_fract_z
Na1 Na 0.000 0.000 0.000
Mn1 Mn 0.000 0.500 0.000
Mn2 Mn 0.000 0.000 0.500
Mn3 Mn 0.500 0.000 0.000
Be1 Be 0.500 0.500 0.500
```

Properties
**Energy above the lowest structure with this stoichiometry**: 1217 meV/atom
**DOS at the Fermi energy**: 5.271 states/eV per cell
**E_form**: 2001 meV per atom
**Symmetry**: No. 221
**Calculated total energy**: -4.5095 eV/atom

***

(13)
NaMnBeNb2 after structural relaxation. Source: the Alexandria database, functional GGA-PBE.

```
data_NaMnBeNb2
_chemical_formula_sum 'Na1 Mn1 Be1 Nb2'
_cell_length_a 4.675
_cell_length_b 3.845
_cell_length_c 4.675
_cell_angle_alpha 90.00
_cell_angle_beta 90.00
_cell_angle_gamma 90.00
_space_group_name_H-M_alt 'P 1'
_space_group_IT_number 1
loop_
_space_group_symop_operation_xyz
'x,y,z'
loop_
_atom_site_label
_atom_site_type_symbol
_atom_site_fract_x
_atom_site_fract_y
_atom_site_fract_z
Na1 Na 0.000 0.000 0.000
Nb1 Nb 0.000 0.000 0.500
Nb2 Nb 0.500 0.000 0.000
Mn1 Mn 0.500 0.500 0.500
Be1 Be 0.000 0.500 0.000
```

Properties
**DOS at the Fermi energy**: 5.799 states/eV per cell
**E_form**: 2226 meV per atom
**Symmetry**: No. 123
**Calculated total energy**: -4.6452 eV/atom

***

(14)
Na2MnBeNb after structural relaxation. Source: the Alexandria database, functional GGA-PBE.

```
data_Na2MnBeNb
_chemical_formula_sum 'Na2 Mn1 Be1 Nb1'
_cell_length_a 5.257
_cell_length_b 4.310
_cell_length_c 5.257
_cell_angle_alpha 90.00
_cell_angle_beta 90.00
_cell_angle_gamma 90.00
_space_group_name_H-M_alt 'P 1'
_space_group_IT_number 1
loop_
_space_group_symop_operation_xyz
'x,y,z'
loop_
_atom_site_label
_atom_site_type_symbol
_atom_site_fract_x
_atom_site_fract_y
_atom_site_fract_z
Na1 Na 0.000 0.000 0.500
Na2 Na 0.500 0.000 0.000
Nb1 Nb 0.000 0.500 0.000
Mn1 Mn 0.000 0.000 0.000
Be1 Be 0.500 0.500 0.500
```

Properties
**DOS at the Fermi energy**: 4.155 states/eV per cell
**E_form**: 1532 meV per atom
**Symmetry**: No. 123
**Calculated total energy**: -3.5890 eV/atom

***

(15)
NaMnBe2Ni after structural relaxation. Source: the Alexandria database, functional GGA-PBE.

```
data_NaMnBe2Ni
_chemical_formula_sum 'Na1 Mn1 Be2 Ni1'
_cell_length_a 4.185
_cell_length_b 4.777
_cell_length_c 4.185
_cell_angle_alpha 90.00
_cell_angle_beta 90.00
_cell_angle_gamma 90.00
_space_group_name_H-M_alt 'P 1'
_space_group_IT_number 1
loop_
_space_group_symop_operation_xyz
'x,y,z'
loop_
_atom_site_label
_atom_site_type_symbol
_atom_site_fract_x
_atom_site_fract_y
_atom_site_fract_z
Ni1 Ni 0.500 0.500 0.500
Mn1 Mn 0.000 0.000 0.000
Be1 Be 0.000 0.000 0.500
Be2 Be 0.500 0.000 0.000
Na1 Na 0.000 0.500 0.000
```

Properties
**Energy above the lowest structure with this stoichiometry**: 862 meV/atom
**DOS at the Fermi energy**: 3.137 states/eV per cell
**E_form**: 1378 meV per atom
**Symmetry**: No. 123
**Calculated total energy**: -3.3669 eV/atom

***

(16)
NaMnBe2Ni after structural relaxation. Source: the Alexandria database, functional GGA-PBE.

```
data_NaMnBe2Ni
_chemical_formula_sum 'Na1 Mn1 Be2 Ni1'
_cell_length_a 4.194
_cell_length_b 4.559
_cell_length_c 4.194
_cell_angle_alpha 90.00
_cell_angle_beta 90.00
_cell_angle_gamma 90.00
_space_group_name_H-M_alt 'P 1'
_space_group_IT_number 1
loop_
_space_group_symop_operation_xyz
'x,y,z'
loop_
_atom_site_label
_atom_site_type_symbol
_atom_site_fract_x
_atom_site_fract_y
_atom_site_fract_z
Ni1 Ni 0.000 0.000 0.000
Mn1 Mn 0.000 0.500 0.000
Be1 Be 0.000 0.000 0.500
Be2 Be 0.500 0.000 0.000
Na1 Na 0.500 0.500 0.500
```

Properties
**Energy above the lowest structure with this stoichiometry**: 0 meV/atom
**DOS at the Fermi energy**: 2.030 states/eV per cell
**E_form**: 515 meV per atom
**Symmetry**: No. 123
**Calculated total energy**: -4.2290 eV/atom